La3Ge2Ir3 | GGA-PBE | relaxed

Cell lengths 5.779, 5.779, 15.439 Å; angles 90.00, 90.00, 135.74 degrees
Fractional positions:
La: 0.076 0.924 0.606
La: 0.076 0.924 0.894
La: 0.365 0.635 0.750
La: 0.635 0.365 0.250
La: 0.924 0.076 0.106
La: 0.924 0.076 0.394
Ge: 0.214 0.786 0.101
Ge: 0.214 0.786 0.399
Ge: 0.786 0.214 0.601
Ge: 0.786 0.214 0.899
Ir: 0.328 0.672 0.250
Ir: 0.350 0.650 0.535
Ir: 0.350 0.650 0.965
Ir: 0.650 0.350 0.035
Ir: 0.650 0.350 0.465
Ir: 0.672 0.328 0.750

Calculated volume (Å³ per cell): 359.81
Space-group type: Cmcm, No. 63
ΔH_f (0 K) (meV/atom): -746
DOS at the Fermi energy (states/eV per atom): 0.70